1.
The following is a DFT calculation (PBE) of a geometry-optimized CsNaH2 structure. Values from VASP.

```
&SYSTEM
  ibrav = 0, nat = 8, ntyp = 3
/
ATOMIC_SPECIES
Cs 132.91 Cs.upf
Na 22.99 Na.upf
H 1.01 H.upf
CELL_PARAMETERS angstrom
-3.404 3.404 4.110
3.404 -3.404 4.110
3.404 3.404 -4.110
ATOMIC_POSITIONS crystal
Cs 0.000 0.000 0.000
Cs 0.750 0.250 0.500
Na 0.250 0.750 0.500
Na 0.500 0.500 0.000
H 0.220 0.625 0.095
H 0.375 0.470 0.595
H 0.530 0.125 0.905
H 0.875 0.780 0.405
```

Values from the calculation:
Energy   -2.368 eV per atom
Calculated volume   190.5 Å³/cell
Crystal system   tetragonal
Spin magnetization   0.00 μB per formula unit

---

2.
The following is a DFT calculation (PBE) of a geometry-optimized CsNa2H structure. Values from VASP.

```
&SYSTEM
  ibrav = 0, nat = 4, ntyp = 3
/
ATOMIC_SPECIES
Cs 132.91 Cs.upf
Na 22.99 Na.upf
H 1.01 H.upf
CELL_PARAMETERS angstrom
0.000 4.351 4.351
4.351 0.000 4.351
4.351 4.351 0.000
ATOMIC_POSITIONS crystal
Cs 0.000 0.000 0.000
Na 0.250 0.250 0.250
Na 0.750 0.750 0.750
H 0.500 0.500 0.500
```

Values from the calculation:
E above lowest polymorph   29.5 kJ/mol of atoms
Energy   -1.210 eV per atom
Calculated volume   164.8 Å³/cell
Crystal system   cubic
Spin magnetization   0.00 μB per formula unit

---

3.
The following is a DFT calculation (PBE) of a geometry-optimized CsNa3H structure. Values from VASP.

```
&SYSTEM
  ibrav = 0, nat = 5, ntyp = 3
/
ATOMIC_SPECIES
Cs 132.91 Cs.upf
Na 22.99 Na.upf
H 1.01 H.upf
CELL_PARAMETERS angstrom
5.782 0.000 0.000
0.000 5.782 0.000
0.000 0.000 5.782
ATOMIC_POSITIONS crystal
Cs 0.000 0.000 0.000
Na 0.000 0.500 0.500
Na 0.500 0.000 0.500
Na 0.500 0.500 0.000
H 0.500 0.500 0.500
```

Values from the calculation:
E above lowest polymorph   0.0 kJ/mol of atoms
Energy   -1.404 eV per atom
Calculated volume   193.3 Å³/cell
Crystal system   cubic
Spin magnetization   0.00 μB per formula unit